# 1
Computed, not measured: a crystal of CuTcP2 relaxed with PBEsol at the meta-GGA SCAN level of DFT.

Cell: 2.910 3.249 11.650 Å, 90.00 90.00 90.00°
Space group Imm2 (No. 44)
Asymmetric unit:
1 Cu 0.000 0.000 0.000 (multiplicity 2)
2 Tc 0.000 0.500 0.266 (multiplicity 2)
3 P 0.000 0.000 0.603 (multiplicity 2)
4 P 0.000 0.500 0.850 (multiplicity 2)

Calculated values
Relative energy among the computed polymorphs in eV/f.u.: 0.00

***

# 2
Computed, not measured: a crystal of CuTc2P relaxed with PBEsol at the meta-GGA SCAN level of DFT.

Cell: 8.726 2.873 4.209 Å, 90.00 107.66 90.00°
Space group Cm (No. 8)
Asymmetric unit:
1 Cu 0.000 0.000 0.000 (multiplicity 2)
2 Tc 0.023 0.500 0.520 (multiplicity 2)
3 Tc 0.253 0.500 0.165 (multiplicity 2)
4 P 0.264 0.000 0.690 (multiplicity 2)

***

# 3
Computed, not measured: a crystal of CuTcP2 relaxed with PBEsol at the meta-GGA SCAN level of DFT.

Cell: 2.998 3.558 4.823 Å, 90.00 90.00 90.00°
Space group Pmm2 (No. 25)
Asymmetric unit:
1 Cu 0.000 0.000 0.000 (multiplicity 1)
2 Tc 0.500 0.500 0.654 (multiplicity 1)
3 P 0.000 0.000 0.498 (multiplicity 1)
4 P 0.500 0.500 0.150 (multiplicity 1)

Calculated values
Relative energy among the computed polymorphs in eV/f.u.: 0.29

***

# 4
Computed, not measured: a crystal of CuTeP2 relaxed with PBEsol at the meta-GGA SCAN level of DFT.

Cell: 10.819 3.309 4.418 Å, 90.00 110.51 90.00°
Space group C2/m (No. 12)
Asymmetric unit:
1 Cu 0.000 0.000 0.000 (multiplicity 2)
2 Te 0.000 0.500 0.500 (multiplicity 2)
3 P 0.230 0.000 0.146 (multiplicity 4)

Calculated values
Formation energy from raw total energies in eV per atom: 0.07

***

# 5
Computed, not measured: a crystal of TiCu2P relaxed with PBEsol at the meta-GGA SCAN level of DFT.

Cell: 3.480 3.480 32.909 Å, 90.00 90.00 90.00°
Space group I4_1/amd (No. 141, origin choice 2)
Asymmetric unit:
1 Ti 0.000 0.250 0.097 (multiplicity 8)
2 Cu 0.000 0.250 0.280 (multiplicity 8)
3 Cu 0.000 0.250 0.777 (multiplicity 8)
4 P 0.000 0.250 0.172 (multiplicity 8)

***

# 6
Computed, not measured: a crystal of TlCu5P3 relaxed with PBEsol at the meta-GGA SCAN level of DFT.

Cell: 12.181 12.181 3.722 Å, 90.00 90.00 90.00°
Space group P4_2/mnm (No. 136)
Asymmetric unit:
1 Tl 0.114 0.114 0.000 (multiplicity 4)
2 Cu 0.028 0.394 0.000 (multiplicity 8)
3 Cu 0.060 0.722 0.500 (multiplicity 8)
4 Cu 0.178 0.822 0.000 (multiplicity 4)
5 P 0.096 0.904 0.500 (multiplicity 4)
6 P 0.133 0.340 0.500 (multiplicity 8)

***

# 7
Computed, not measured: a crystal of TlCuP2 relaxed with PBEsol at the meta-GGA SCAN level of DFT.

Cell: 3.589 3.589 5.491 Å, 90.00 90.00 90.00°
Space group P4/mmm (No. 123)
Asymmetric unit:
1 Tl 0.000 0.000 0.000 (multiplicity 1)
2 Cu 0.500 0.500 0.000 (multiplicity 1)
3 P 0.000 0.500 0.500 (multiplicity 2)

Calculated values
Relative energy among the computed polymorphs in eV/f.u.: 2.42

***

# 8
Computed, not measured: a crystal of TlCu2P relaxed with PBEsol at the meta-GGA SCAN level of DFT.

Cell: 3.094 3.610 12.081 Å, 90.00 90.00 90.00°
Space group Imm2 (No. 44)
Asymmetric unit:
1 Tl 0.000 0.000 0.000 (multiplicity 2)
2 Cu 0.000 0.000 0.630 (multiplicity 2)
3 Cu 0.000 0.500 0.784 (multiplicity 2)
4 P 0.000 0.500 0.272 (multiplicity 2)

***

# 9
Computed, not measured: a crystal of TlCuP2 relaxed with PBEsol at the meta-GGA SCAN level of DFT.

Cell: 4.034 3.726 5.316 Å, 90.00 104.53 90.00°
Space group P2/m (No. 10)
Asymmetric unit:
1 Tl 0.000 0.000 0.000 (multiplicity 1)
2 Cu 0.500 0.000 0.500 (multiplicity 1)
3 P 0.257 0.500 0.631 (multiplicity 2)

Calculated values
Relative energy among the computed polymorphs in eV/f.u.: 0.00

***

# 10
Computed, not measured: a crystal of TlCuP2 relaxed with PBEsol at the meta-GGA SCAN level of DFT.

Cell: 4.019 3.245 5.922 Å, 90.00 103.21 90.00°
Space group Pm (No. 6)
Asymmetric unit:
1 Tl 0.000 0.000 0.000 (multiplicity 1)
2 Cu 0.615 0.500 0.265 (multiplicity 1)
3 P 0.117 0.500 0.547 (multiplicity 1)
4 P 0.482 0.000 0.538 (multiplicity 1)

Calculated values
Relative energy among the computed polymorphs in eV/f.u.: 0.67

***

# 11
Computed, not measured: a crystal of TlCu2P relaxed with PBEsol at the meta-GGA SCAN level of DFT.

Cell: 3.733 4.075 4.088 Å, 90.00 90.00 90.00°
Space group Pmmm (No. 47)
Asymmetric unit:
1 Tl 0.000 0.000 0.000 (multiplicity 1)
2 Cu 0.500 0.000 0.500 (multiplicity 1)
3 Cu 0.500 0.500 0.000 (multiplicity 1)
4 P 0.000 0.500 0.500 (multiplicity 1)

***

# 12
Computed, not measured: a crystal of UCuP2 relaxed with PBEsol at the meta-GGA SCAN level of DFT.

Cell: 3.720 3.720 18.137 Å, 90.00 90.00 90.00°
Space group I4/mmm (No. 139)
Asymmetric unit:
1 U 0.000 0.000 0.109 (multiplicity 4)
2 Cu 0.000 0.500 0.250 (multiplicity 4)
3 P 0.000 0.000 0.333 (multiplicity 4)
4 P 0.000 0.500 0.000 (multiplicity 4)

***

How do the records compare in energy? In the order shown, they have -142.91 -191.30 -71.17 -145.94 -474.92 -718.66 -105.77 -224.79 -108.19 -107.52 -111.19 -567.50 eV/cell.